# 1
Fe2WBr: relaxed, PBE-GGA.

```
Fe2WBr
1.0
2.9181 0.0000 0.0000
0.0000 4.4287 0.0000
0.0000 0.0000 4.5303
Fe W Br
2 1 1
direct
0.0000 0.0000 0.0000
0.5000 0.0000 0.5000
0.0000 0.5000 0.5000
0.5000 0.5000 0.0000
```

Results
Distance to the lowest polymorph of the same formula: 504 meV per atom
DFT total energy: -6.9133 eV per atom
Formation energy (no corrections): 0.9746 eV per atom
SG: No. 47


# 2
Ac2HoTm: relaxed, PBE-GGA.

```
Ac2HoTm
1.0
3.8893 0.0000 0.0000
0.0000 3.8893 0.0000
0.0000 0.0000 9.8045
Ac Ho Tm
2 1 1
direct
0.0000 0.0000 0.2482
0.0000 0.0000 0.7518
0.5000 0.5000 0.5000
0.5000 0.5000 0.0000
```

Results
Distance to the lowest polymorph of the same formula: 0 meV per atom
DFT formation energy: 0.057 eV per atom
DFT total energy: -4.2594 eV per atom
SG: No. 123


# 3
MgPd2Pt3: relaxed, PBE-GGA.

```
MgPd2Pt3
1.0
0.0000 4.5511 7.7188
2.7190 0.0000 7.7188
2.7190 4.5511 0.0000
Mg Pd Pt
2 4 6
direct
0.1583 0.1583 0.8417
0.8417 0.8417 0.1583
0.2474 0.7526 0.7526
0.2500 0.2500 0.2500
0.7500 0.7500 0.7500
0.7526 0.2474 0.2474
0.1730 0.6570 0.3430
0.3249 0.3249 0.6751
0.3430 0.8270 0.1730
0.6570 0.1730 0.8270
0.6751 0.6751 0.3249
0.8270 0.3430 0.6570
```

Results
DFT formation energy: -0.268 eV per atom
DFT total energy: -5.2847 eV per atom
SG: No. 69


# 4
LiPrZn17: relaxed, PBE-GGA.

```
LiPrZn17
1.0
4.5077 2.6025 4.4092
-4.5077 2.6025 4.4092
0.0000 -5.2050 4.4092
Li Pr Zn
1 1 17
direct
0.0000 0.0000 0.0000
0.3082 0.3082 0.3082
0.1516 0.6375 0.6375
0.2911 0.2911 0.8125
0.2911 0.8125 0.2911
0.3428 0.6511 0.9415
0.3428 0.9415 0.6511
0.4910 0.9947 0.9947
0.5504 0.5504 0.5504
0.6375 0.1516 0.6375
0.6375 0.6375 0.1516
0.6511 0.3428 0.9415
0.6511 0.9415 0.3428
0.7537 0.7537 0.7537
0.8125 0.2911 0.2911
0.9415 0.3428 0.6511
0.9415 0.6511 0.3428
0.9947 0.4910 0.9947
0.9947 0.9947 0.4910
```

Results
DFT formation energy: -0.146 eV per atom
DFT total energy: -1.6382 eV per atom
SG: No. 160